(1)
Density functional theory data (PBE) for BiTeIr after structural relaxation.

abc: 6.9021 6.9021 6.9021
angles: 90.00 90.00 90.00
Space group F-43m (No. 216)
Asymmetric unit:
Bi: 0.0000 0.0000 0.0000 (multiplicity 4)
Te: 0.2500 0.2500 0.7500 (multiplicity 4)
Ir: 0.2500 0.2500 0.2500 (multiplicity 4)

Output
The value obtained for the raw total energy is -4.3592 eV per atom. The uncorrected formation energy is 935 meV per atom.

=====

(2)
Density functional theory data (PBE) for Bi3TeIr after structural relaxation.

abc: 9.6762 7.2633 9.7002
angles: 90.00 113.84 90.00
Space group P2_1/c (No. 14)
Asymmetric unit:
Bi: 0.0747 0.0691 0.3683 (multiplicity 4)
Bi: 0.1825 0.5453 0.5221 (multiplicity 4)
Bi: 0.3546 0.1194 0.8161 (multiplicity 4)
Te: 0.3952 0.7052 0.8244 (multiplicity 4)
Ir: 0.0777 0.2400 0.6212 (multiplicity 4)

Output
The value obtained for the raw total energy is -4.7174 eV per atom. For the energy above the most stable polymorph in this dataset, the calculation gives 0.000 eV per atom. The uncorrected formation energy is 12 meV per atom.